This record from Alexandria via LeMat-Bulk describes Ac4HfPa3N8 after structural relaxation. The functional is GGA-PBE.

The structure in POSCAR format:
```
Ac4HfPa3N8
1.0
-3.269 0.131 6.367
-6.592 -0.384 -3.377
4.899 -5.026 -1.405
Ac Hf Pa N
4 1 3 8
direct
0.500 0.000 0.000
0.500 0.000 0.500
0.000 0.000 0.000
0.000 0.000 0.500
0.000 0.500 0.000
0.500 0.500 0.000
0.500 0.500 0.500
0.000 0.500 0.500
0.225 0.686 0.961
0.225 0.686 0.449
0.271 0.314 0.542
0.737 0.686 0.961
0.263 0.314 0.039
0.729 0.686 0.458
0.775 0.314 0.551
0.775 0.314 0.039
```

Results
Its electronic total energy is -144.20 eV/cell. The calculation puts the total magnetic moment at 0.00 μB per formula unit. The calculation puts the formation energy from raw total energies at -1420 meV per atom.